Material: NiAgPb3
Method: DFT, GGA-PBE
State: optimized geometry

```
5
Lattice="5.147 0.000 0.000 0.000 5.147 0.000 0.000 0.000 5.147" Properties=species:S:1:pos:R:3 pbc="T T T"
Ni 0.000 0.000 0.000
Ag 2.573 2.573 2.573
Pb 0.000 0.000 2.573
Pb 0.000 2.573 0.000
Pb 2.573 0.000 0.000
```

The calculation puts the total energy at -18.5 eV per formula unit. Its space group is Pm-3m. The calculated density comes out at 9.60 g/cm3.

Material: Cs2VP
Method: DFT, GGA-PBE
State: optimized geometry

```
8
Lattice="-6.832 6.832 2.348 6.832 -6.832 2.348 6.832 6.832 -2.348" Properties=species:S:1:pos:R:3 pbc="T T T"
Cs 0.880 3.416 0.587
Cs -3.416 5.952 1.761
Cs -0.880 10.248 0.587
Cs 3.416 7.712 1.761
V 6.832 0.000 1.174
V 0.000 0.000 2.348
P 0.000 0.000 0.000
P 0.000 6.832 1.174
```

The calculation puts the total energy at -15.6 eV per formula unit. Its space group is I-42d. The calculated density comes out at 2.63 g/cm3.

Material: LiOs2Cl
Method: DFT, GGA-PBE
State: optimized geometry

```
4
Lattice="1.363 -2.406 0.000 1.363 2.406 0.000 0.000 0.000 9.062" Properties=species:S:1:pos:R:3 pbc="T T T"
Li 0.000 0.000 0.000
Os 1.363 0.000 2.306
Os 1.363 0.000 6.755
Cl 0.000 0.000 4.531
```

The value obtained for the formation energy without anion corrections is 895 meV per atom. Its space group is Cmmm. The calculated density comes out at 11.81 g/cm3. The value obtained for the energy above the most stable polymorph in this dataset is 772 meV per atom.

Material: ZnGa2Se4
Method: DFT, GGA-PBE
State: optimized geometry

```
7
Lattice="5.525 0.000 0.000 0.000 5.525 0.000 0.000 0.000 5.683" Properties=species:S:1:pos:R:3 pbc="T T T"
Zn 0.000 0.000 0.000
Ga 0.000 2.763 2.842
Ga 2.763 0.000 2.842
Se 1.478 1.478 1.349
Se 1.478 4.047 4.334
Se 4.047 1.478 4.334
Se 4.047 4.047 1.349
```

The value obtained for the formation energy without anion corrections is -640 meV per atom. Its space group is P-42m. The calculated density comes out at 4.98 g/cm3.

Material: Zr2MnRe
Method: DFT, GGA-PBE
State: optimized geometry

```
4
Lattice="2.940 0.000 0.000 0.000 4.247 0.000 -1.272 0.000 5.879" Properties=species:S:1:pos:R:3 pbc="T T T"
Zr -0.088 0.000 1.502
Zr 1.756 0.000 4.377
Mn 1.470 2.124 0.000
Re 0.834 2.124 2.940
```

The calculation puts the total energy at -38.3 eV per formula unit. Its space group is P2/m. The calculated density comes out at 9.58 g/cm3.

Material: In2ReTc
Method: DFT, GGA-PBE
State: optimized geometry

```
4
Lattice="2.959 -4.161 0.000 2.959 4.161 0.000 0.000 0.000 2.902" Properties=species:S:1:pos:R:3 pbc="T T T"
In 1.480 2.081 0.000
In 1.480 -2.081 0.000
Re 0.000 0.000 1.451
Tc 2.959 0.000 1.451
```

Its space group is Cmmm. The calculated density comes out at 11.94 g/cm3. The value obtained for the energy above the most stable polymorph in this dataset is 556 meV per atom.

Material: TlCuRh4
Method: DFT, GGA-PBE
State: optimized geometry

```
6
Lattice="0.000 3.666 3.666 3.666 0.000 3.666 3.666 3.666 0.000" Properties=species:S:1:pos:R:3 pbc="T T T"
Tl 0.000 0.000 0.000
Cu 5.499 5.499 5.499
Rh 2.752 2.752 2.752
Rh 4.581 4.581 2.752
Rh 4.581 2.752 4.581
Rh 2.752 4.581 4.581
```

The calculation puts the total energy at -33.7 eV per formula unit. Its space group is F-43m. The calculated density comes out at 11.45 g/cm3.

Material: RbPd2S2
Method: DFT, GGA-PBE
State: optimized geometry

```
5
Lattice="-2.351 2.351 5.567 2.351 -2.351 5.567 2.351 2.351 -5.567" Properties=species:S:1:pos:R:3 pbc="T T T"
Rb 0.000 0.000 0.000
Pd 0.000 0.000 3.387
Pd 0.000 0.000 7.747
S 2.351 0.000 2.783
S 0.000 2.351 2.783
```

The value obtained for the formation energy without anion corrections is -488 meV per atom. Its space group is I4/mmm. The calculated density comes out at 4.89 g/cm3. The value obtained for the energy above the most stable polymorph in this dataset is 0 meV per atom.

Material: Be3HPb
Method: DFT, GGA-PBE
State: optimized geometry

```
5
Lattice="4.692 0.000 0.000 0.000 4.692 0.000 0.000 0.000 4.692" Properties=species:S:1:pos:R:3 pbc="T T T"
Be 0.000 0.000 2.346
Be 0.000 2.346 0.000
Be 2.346 0.000 0.000
H 2.346 2.346 2.346
Pb 0.000 0.000 0.000
```

Its space group is Pm-3m. The calculated density comes out at 3.78 g/cm3. The value obtained for the energy above the most stable polymorph in this dataset is 936 meV per atom.

Material: TlAgPdCl6
Method: DFT, GGA-PBE
State: optimized geometry

```
18
Lattice="6.603 0.000 0.000 -3.302 5.718 0.000 0.000 0.000 12.020" Properties=species:S:1:pos:R:3 pbc="T T T"
Tl 0.000 3.812 3.005
Tl 3.302 1.906 9.015
Ag 0.000 0.000 0.000
Ag 0.000 0.000 6.010
Pd 0.000 3.812 9.015
Pd 3.302 1.906 3.005
Cl -1.076 2.030 7.565
Cl -2.081 3.771 10.465
Cl 1.076 2.030 10.465
Cl -1.005 5.635 7.565
Cl 2.296 0.083 1.555
Cl 1.220 1.947 4.455
Cl 2.081 3.771 7.565
Cl 1.005 5.635 10.465
Cl 4.307 0.083 4.455
Cl 2.225 3.688 1.555
Cl 5.383 1.947 1.555
Cl 4.378 3.688 4.455
```

The value obtained for the formation energy without anion corrections is -494 meV per atom. Its space group is P-31c. The calculated density comes out at 4.62 g/cm3.

Material: Sr2FeN2
Method: DFT, GGA-PBE
State: optimized geometry

```
25
Lattice="6.554 0.000 0.000 -1.839 8.469 0.000 -2.997 -0.656 8.340" Properties=species:S:1:pos:R:3 pbc="T T T"
Sr -0.475 2.848 1.497
Sr -1.655 2.662 5.367
Sr -1.409 -0.059 7.803
Sr 0.153 6.591 2.250
Sr -0.979 6.338 5.587
Sr 2.696 1.475 2.753
Sr 1.565 1.222 6.090
Sr 3.127 7.872 0.536
Sr 3.373 5.151 2.972
Sr 2.193 4.966 6.843
Fe -0.618 -0.014 3.402
Fe -1.344 4.497 8.186
Fe 0.859 3.907 4.170
Fe 3.062 3.316 0.153
Fe 2.335 7.827 4.937
N 0.479 0.333 2.002
N -0.695 0.080 5.271
N -0.784 4.535 3.607
N -1.679 2.704 8.006
N -2.215 6.036 7.995
N 3.932 1.777 0.344
N 3.397 5.109 0.333
N 2.501 3.278 4.733
N 2.413 7.733 3.069
N 1.239 7.480 6.338
```

The value obtained for the formation energy without anion corrections is -569 meV per atom. Its space group is P-1. The calculated density comes out at 4.65 g/cm3.

Material: Eu3Ga4Ni4
Method: DFT, GGA-PBE
State: optimized geometry

```
11
Lattice="-3.743 3.743 3.743 3.743 -3.743 3.743 3.743 3.743 -3.743" Properties=species:S:1:pos:R:3 pbc="T T T"
Eu 3.743 0.000 0.000
Eu 0.000 3.743 0.000
Eu 0.000 0.000 3.743
Ga 1.475 1.475 -1.475
Ga 1.475 -1.475 1.475
Ga -1.475 1.475 1.475
Ga 2.268 2.268 2.268
Ni 2.840 2.840 -2.840
Ni 2.840 -2.840 2.840
Ni 0.903 0.903 0.903
Ni -2.840 2.840 2.840
```

The calculation puts the total energy at -71.3 eV per formula unit. Its space group is I-43m. The calculated density comes out at 7.67 g/cm3.

Material: Al3CoGe
Method: DFT, GGA-PBE
State: optimized geometry

```
5
Lattice="4.482 0.000 0.000 0.000 4.482 0.000 0.000 0.000 4.482" Properties=species:S:1:pos:R:3 pbc="T T T"
Al 0.000 0.000 2.241
Al 0.000 2.241 0.000
Al 2.241 0.000 0.000
Co 0.000 0.000 0.000
Ge 2.241 2.241 2.241
```

Its space group is Pm-3m. The calculated density comes out at 3.92 g/cm3. The value obtained for the energy above the most stable polymorph in this dataset is 0 meV per atom.

Material: Ac2CdPd6Pb
Method: DFT, GGA-PBE
State: optimized geometry

```
10
Lattice="6.342 -2.849 0.000 6.342 2.849 0.000 -5.975 0.000 6.344" Properties=species:S:1:pos:R:3 pbc="T T T"
Ac -1.349 0.000 1.791
Ac 8.057 0.000 4.552
Cd 3.354 0.000 3.172
Pd 1.559 1.404 1.703
Pd 3.599 0.000 0.432
Pd 1.559 -1.404 1.703
Pd 5.150 1.404 4.640
Pd 3.110 0.000 5.911
Pd 5.150 -1.404 4.640
Pb 6.342 0.000 0.000
```

The calculation puts the total energy at -49.5 eV per formula unit. Its space group is C2/m. The calculated density comes out at 10.23 g/cm3.

Material: K4CrP
Method: DFT, GGA-PBE
State: optimized geometry

```
6
Lattice="0.000 4.807 4.807 4.807 0.000 4.807 4.807 4.807 0.000" Properties=species:S:1:pos:R:3 pbc="T T T"
K 1.188 1.188 1.188
K 3.619 3.619 1.188
K 3.619 1.188 3.619
K 1.188 3.619 3.619
Cr 4.807 4.807 4.807
P 7.210 7.210 7.210
```

The calculation puts the total energy at -14.6 eV per formula unit. Its space group is F-43m. The calculated density comes out at 1.79 g/cm3.

Material: BaPaSe4
Method: DFT, GGA-PBE
State: optimized geometry

```
12
Lattice="5.533 0.000 0.000 0.000 8.171 0.000 -1.117 0.000 8.002" Properties=species:S:1:pos:R:3 pbc="T T T"
Ba 0.627 2.043 3.342
Ba 3.789 6.128 4.660
Pa 2.303 6.128 0.421
Pa 2.113 2.043 7.582
Se 0.472 2.043 0.121
Se 1.046 6.128 2.908
Se 1.006 4.308 6.234
Se 1.006 7.948 6.234
Se 3.410 0.223 1.768
Se 3.410 3.863 1.768
Se 3.370 2.043 5.095
Se 3.944 6.128 7.882
```

The value obtained for the formation energy without anion corrections is -1347 meV per atom. Its space group is P2_1/m. The calculated density comes out at 6.28 g/cm3. The value obtained for the energy above the most stable polymorph in this dataset is 0 meV per atom.

Material: Pm5Si3Ni3
Method: DFT, GGA-PBE
State: optimized geometry

```
11
Lattice="9.329 0.000 0.000 -4.664 8.079 0.000 0.000 0.000 3.587" Properties=species:S:1:pos:R:3 pbc="T T T"
Pm -3.526 6.108 0.000
Pm 1.138 1.971 0.000
Pm 0.000 5.386 0.000
Pm 4.664 2.693 0.000
Pm 7.052 0.000 0.000
Si -1.880 3.256 0.000
Si 3.760 0.000 0.000
Si 2.784 4.823 0.000
Ni -1.210 2.096 1.794
Ni 2.420 0.000 1.794
Ni 3.454 5.983 1.794
```

The value obtained for the formation energy without anion corrections is -146 meV per atom. Its space group is P-62m. The calculated density comes out at 6.05 g/cm3.

Material: LiNd4Sn
Method: DFT, GGA-PBE
State: optimized geometry

```
12
Lattice="2.764 -10.969 0.000 2.764 10.969 0.000 0.000 0.000 6.697" Properties=species:S:1:pos:R:3 pbc="T T T"
Li 2.764 9.265 3.348
Li 2.764 -9.265 0.000
Nd 2.764 9.561 0.003
Nd 2.764 6.397 1.632
Nd 2.764 6.394 5.088
Nd 2.764 2.845 0.016
Nd 2.764 -2.845 3.364
Nd 2.764 -6.394 1.740
Nd 2.764 -6.397 4.981
Nd 2.764 -9.561 3.352
Sn 2.764 3.345 3.362
Sn 2.764 -3.345 0.013
```

The calculation puts the total energy at -25.1 eV per formula unit. Its space group is Cmc2_1. The calculated density comes out at 5.75 g/cm3.

Material: MgFeSe2
Method: DFT, GGA-PBE
State: optimized geometry

```
4
Lattice="3.555 0.000 0.000 0.000 3.654 0.000 0.000 0.000 7.285" Properties=species:S:1:pos:R:3 pbc="T T T"
Mg 0.000 0.000 0.000
Fe 0.000 1.827 3.642
Se 1.778 0.000 3.642
Se 1.778 1.827 0.000
```

The value obtained for the formation energy without anion corrections is -228 meV per atom. Its space group is Pmmm. The calculated density comes out at 4.18 g/cm3.

Material: Hf4Zr3Sb4
Method: DFT, GGA-PBE
State: optimized geometry

```
11
Lattice="9.369 0.000 0.000 0.000 1.945 7.070 0.000 -1.945 7.070" Properties=species:S:1:pos:R:3 pbc="T T T"
Hf 0.000 0.000 0.000
Hf 2.304 0.000 7.002
Hf 4.684 0.000 0.276
Hf 7.065 0.000 7.002
Zr 0.000 0.000 9.578
Zr 2.558 0.000 11.562
Zr 6.811 0.000 11.562
Sb 0.000 0.000 4.842
Sb 2.334 0.000 2.160
Sb 4.684 0.000 5.148
Sb 7.035 0.000 2.160
```

The value obtained for the formation energy without anion corrections is -439 meV per atom. Its space group is Amm2. The calculated density comes out at 9.50 g/cm3.